# BWSe3 (PBE, relaxed)
data_BWSe3
_chemical_formula_sum 'B1 W1 Se3'
_space_group_name_H-M_alt 'P 1'
_space_group_IT_number 1
_cell_length_a 4.9427
_cell_length_b 4.9427
_cell_length_c 4.9427
_cell_angle_alpha 90.00
_cell_angle_beta 90.00
_cell_angle_gamma 90.00
loop_
_space_group_symop_operation_xyz
'x,y,z'
loop_
_atom_site_label
_atom_site_fract_x
_atom_site_fract_y
_atom_site_fract_z
_atom_site_occupancy
W1 0.0000 0.0000 0.0000 1
B1 0.5000 0.5000 0.5000 1
Se1 0.0000 0.0000 0.5000 1
Se2 0.0000 0.5000 0.0000 1
Se3 0.5000 0.0000 0.0000 1
# E_form (uncorrected), eV per atom: 1.130
# Symmetry: Pm-3m (221)
# Polymorph energy (0 for the lowest one), meV/atom: 10.1